(1)
First-principles (GGA-PBE) data for an optimized crystal structure of FeSn3Bi, as listed in Alexandria.

Properties
The electronic total energy is -4.7034 eV/atom. The energy above the most stable polymorph in this dataset comes out at 0.0000 eV per atom. The magnetic moment is 0.0 Bohr magnetons per cell. For the calculated formation energy, the calculation gives 167.0 meV per atom. As for the symmetry: Pm-3m (221). The theoretical density is 8.1 g/cm³.

abc: 5.0271 5.0271 5.0271
angles: 90.00 90.00 90.00
Closest atoms and distances in Å follow each position.
Atoms (fractional coordinates):
Sn (0.5000, 0.0000, 0.0000)  2 Fe 2.51
Sn (0.0000, 0.5000, 0.0000)  2 Fe 2.51
Sn (0.0000, 0.0000, 0.5000)  2 Fe 2.51
Fe (0.0000, 0.0000, 0.0000)  6 Sn 2.51
Bi (0.5000, 0.5000, 0.5000)  12 Sn 3.55

***

(2)
First-principles (GGA-PBE) data for an optimized crystal structure of FeTcSn2Bi, as listed in Alexandria.

Properties
The electronic total energy is -4.2292 eV/atom. The magnetic moment is 3.2 Bohr magnetons per cell. For the calculated formation energy, the calculation gives 1913.9 meV per atom. As for the symmetry: P4/mmm (123). The theoretical density is 6.1 g/cm³.

abc: 5.6865 5.0390 5.6865
angles: 90.00 90.00 90.00
Closest atoms and distances in Å follow each position.
Atoms (fractional coordinates):
Sn (0.5000, 0.0000, 0.0000)  2 Bi 2.84
Sn (0.0000, 0.0000, 0.5000)  2 Bi 2.84
Bi (0.0000, 0.0000, 0.0000)  2 Tc 2.52
Fe (0.5000, 0.5000, 0.5000)  8 Sn 3.80, 4 Tc 4.02
Tc (0.0000, 0.5000, 0.0000)  2 Bi 2.52

***

(3)
First-principles (GGA-PBE) data for an optimized crystal structure of SrFeBi3, as listed in Alexandria.

Properties
The electronic total energy is -3.0523 eV/atom. The energy above the most stable polymorph in this dataset comes out at 1.2212 eV per atom. The magnetic moment is 3.6 Bohr magnetons per cell. For the calculated formation energy, the calculation gives 1305.2 meV per atom. As for the symmetry: Pm-3m (221). The theoretical density is 5.9 g/cm³.

abc: 6.0169 6.0169 6.0169
angles: 90.00 90.00 90.00
Closest atoms and distances in Å follow each position.
Atoms (fractional coordinates):
Fe (0.5000, 0.5000, 0.5000)  12 Bi 4.25
Bi (0.5000, 0.0000, 0.0000)  2 Sr 3.01
Bi (0.0000, 0.0000, 0.5000)  2 Sr 3.01
Bi (0.0000, 0.5000, 0.0000)  2 Sr 3.01
Sr (0.0000, 0.0000, 0.0000)  6 Bi 3.01

***

(4)
First-principles (GGA-PBE) data for an optimized crystal structure of SrFeBi3, as listed in Alexandria.

Properties
The electronic total energy is -4.2735 eV/atom. The energy above the most stable polymorph in this dataset comes out at 0.0000 eV per atom. The magnetic moment is 0.0 Bohr magnetons per cell. For the calculated formation energy, the calculation gives 84.0 meV per atom. As for the symmetry: Pm-3m (221). The theoretical density is 8.7 g/cm³.

abc: 5.2872 5.2872 5.2872
angles: 90.00 90.00 90.00
Closest atoms and distances in Å follow each position.
Atoms (fractional coordinates):
Sr (0.5000, 0.5000, 0.5000)  12 Bi 3.74
Fe (0.0000, 0.0000, 0.0000)  6 Bi 2.64
Bi (0.5000, 0.0000, 0.0000)  2 Fe 2.64
Bi (0.0000, 0.0000, 0.5000)  2 Fe 2.64
Bi (0.0000, 0.5000, 0.0000)  2 Fe 2.64

***

(5)
First-principles (GGA-PBE) data for an optimized crystal structure of Sr2FeBi, as listed in Alexandria.

Properties
The electronic total energy is -3.7319 eV/atom. The magnetic moment is 0.0 Bohr magnetons per cell. For the calculated formation energy, the calculation gives 194.9 meV per atom. As for the symmetry: I-42d (122). The theoretical density is 4.7 g/cm³.

abc: 11.1892 11.1892 8.2918
angles: 47.57 47.57 90.00
Closest atoms and distances in Å follow each position.
Atoms (fractional coordinates):
Fe (0.2500, 0.7500, 0.5000)  2 Bi 2.48
Fe (0.5000, 0.5000, 0.0000)  2 Bi 2.48
Sr (0.3750, 0.5515, 0.7500)  2 Fe 2.98
Sr (0.3015, 0.6250, 0.2500)  2 Fe 2.98
Sr (0.8750, 0.6985, 0.7500)  2 Fe 2.98
Sr (0.4485, 0.1250, 0.2500)  2 Fe 2.98
Bi (0.0000, 0.0000, 0.0000)  2 Fe 2.48
Bi (0.7500, 0.2500, 0.5000)  2 Fe 2.48

***

(6)
First-principles (GGA-PBE) data for an optimized crystal structure of SrFeBi2, as listed in Alexandria.

Properties
The electronic total energy is -4.1453 eV/atom. The magnetic moment is 0.0 Bohr magnetons per cell. For the calculated formation energy, the calculation gives 331.3 meV per atom. As for the symmetry: Fm-3m (225). The theoretical density is 9.2 g/cm³.

abc: 5.2388 5.2388 5.2388
angles: 60.00 60.00 60.00
Closest atoms and distances in Å follow each position.
Atoms (fractional coordinates):
Fe (0.0000, 0.0000, 0.0000)  8 Bi 3.21
Bi (0.2500, 0.2500, 0.2500)  4 Sr 3.21, 4 Fe 3.21
Bi (0.7500, 0.7500, 0.7500)  4 Sr 3.21, 4 Fe 3.21
Sr (0.5000, 0.5000, 0.5000)  8 Bi 3.21

***

(7)
First-principles (GGA-PBE) data for an optimized crystal structure of SrFeBi2, as listed in Alexandria.

Properties
The electronic total energy is -4.4055 eV/atom. The magnetic moment is 0.0 Bohr magnetons per cell. For the calculated formation energy, the calculation gives 71.1 meV per atom. As for the symmetry: I-42d (122). The theoretical density is 8.1 g/cm³.

abc: 8.2124 8.2124 6.7293
angles: 52.40 52.40 90.00
Closest atoms and distances in Å follow each position.
Atoms (fractional coordinates):
Fe (0.5000, 0.5000, 0.0000)  4 Bi 2.61
Fe (0.2500, 0.7500, 0.5000)  4 Bi 2.61
Bi (0.5410, 0.1250, 0.2500)  2 Fe 2.61
Bi (0.3750, 0.4590, 0.7500)  2 Fe 2.61
Bi (0.2090, 0.6250, 0.2500)  2 Fe 2.61
Bi (0.8750, 0.7910, 0.7500)  2 Fe 2.61
Sr (0.7500, 0.2500, 0.5000)  2 Fe 3.40, 8 Bi 3.53-3.55
Sr (0.0000, 0.0000, 0.0000)  2 Fe 3.40, 8 Bi 3.53-3.55

***

(8)
First-principles (GGA-PBE) data for an optimized crystal structure of SrTlFeBi2, as listed in Alexandria.

Properties
The electronic total energy is -3.9215 eV/atom. The magnetic moment is 0.0 Bohr magnetons per cell. For the calculated formation energy, the calculation gives 133.1 meV per atom. As for the symmetry: P4/mmm (123). The theoretical density is 8.5 g/cm³.

abc: 5.1286 5.6850 5.1286
angles: 90.00 90.00 90.00
Closest atoms and distances in Å follow each position.
Atoms (fractional coordinates):
Sr (0.0000, 0.5000, 0.0000)  2 Fe 2.84
Tl (0.5000, 0.5000, 0.5000)  4 Sr 3.63, 8 Bi 3.83
Fe (0.0000, 0.0000, 0.0000)  4 Bi 2.56, 2 Sr 2.84
Bi (0.5000, 0.0000, 0.0000)  2 Fe 2.56
Bi (0.0000, 0.0000, 0.5000)  2 Fe 2.56